First-principles (GGA-PBE) data for a relaxed structure of Sr2Li2CdPd5, as listed in the Alexandria database.

size of the total moment	0.000	μB per formula unit
DFT formation energy	-0.5038	eV per atom
SG	P4/mbm, No. 127
energy	-39.11	eV per formula unit

The structure in CIF format:
```
data_Sr2Li2CdPd5
_space_group_name_H-M_alt 'P 1'
_space_group_IT_number 1
_cell_length_a 9.826
_cell_length_b 9.826
_cell_length_c 3.880
_cell_angle_alpha 90.00
_cell_angle_beta 90.00
_cell_angle_gamma 90.00
loop_
_space_group_symop_operation_xyz
'x,y,z'
loop_
_atom_site_label
_atom_site_type_symbol
_atom_site_fract_x
_atom_site_fract_y
_atom_site_fract_z
Sr1 Sr 0.182 0.318 0.000
Sr2 Sr 0.318 0.818 0.000
Sr3 Sr 0.682 0.182 0.000
Sr4 Sr 0.818 0.682 0.000
Li1 Li 0.116 0.616 0.000
Li2 Li 0.384 0.116 0.000
Li3 Li 0.616 0.884 0.000
Li4 Li 0.884 0.384 0.000
Cd1 Cd 0.000 0.000 0.000
Cd2 Cd 0.500 0.500 0.000
Pd1 Pd 0.000 0.500 0.500
Pd2 Pd 0.061 0.789 0.500
Pd3 Pd 0.211 0.061 0.500
Pd4 Pd 0.289 0.561 0.500
Pd5 Pd 0.439 0.289 0.500
Pd6 Pd 0.500 0.000 0.500
Pd7 Pd 0.561 0.711 0.500
Pd8 Pd 0.711 0.439 0.500
Pd9 Pd 0.789 0.939 0.500
Pd10 Pd 0.939 0.211 0.500
```

---

First-principles (GGA-PBE) data for a relaxed structure of Dy2InSi2Ru5, as listed in the Alexandria database.

size of the total moment	0.000	μB per formula unit
formation energy (no corrections)	-5.83	eV per formula unit
SG	P4/mbm, No. 127
energy	-74.99	eV per formula unit

The structure in CIF format:
```
data_Dy2InSi2Ru5
_space_group_name_H-M_alt 'P 1'
_space_group_IT_number 1
_cell_length_a 10.082
_cell_length_b 10.082
_cell_length_c 3.293
_cell_angle_alpha 90.00
_cell_angle_beta 90.00
_cell_angle_gamma 90.00
loop_
_space_group_symop_operation_xyz
'x,y,z'
loop_
_atom_site_label
_atom_site_type_symbol
_atom_site_fract_x
_atom_site_fract_y
_atom_site_fract_z
Dy1 Dy 0.174 0.326 0.000
Dy2 Dy 0.326 0.826 0.000
Dy3 Dy 0.674 0.174 0.000
Dy4 Dy 0.826 0.674 0.000
In1 In 0.000 0.000 0.000
In2 In 0.500 0.500 0.000
Si1 Si 0.125 0.625 0.000
Si2 Si 0.375 0.125 0.000
Si3 Si 0.625 0.875 0.000
Si4 Si 0.875 0.375 0.000
Ru1 Ru 0.000 0.500 0.500
Ru2 Ru 0.069 0.785 0.500
Ru3 Ru 0.215 0.069 0.500
Ru4 Ru 0.285 0.569 0.500
Ru5 Ru 0.431 0.285 0.500
Ru6 Ru 0.500 0.000 0.500
Ru7 Ru 0.569 0.715 0.500
Ru8 Ru 0.715 0.431 0.500
Ru9 Ru 0.785 0.931 0.500
Ru10 Ru 0.931 0.215 0.500
```

---

First-principles (GGA-PBE) data for a relaxed structure of AcAl2Fe2Si, as listed in the Alexandria database.

size of the total moment	2.141	μB per formula unit
formation energy (no corrections)	-1.45	eV per formula unit
SG	P4/mmm, No. 123
energy	-35.39	eV per formula unit

The structure in CIF format:
```
data_AcAl2Fe2Si
_space_group_name_H-M_alt 'P 1'
_space_group_IT_number 1
_cell_length_a 4.332
_cell_length_b 4.332
_cell_length_c 6.021
_cell_angle_alpha 90.00
_cell_angle_beta 90.00
_cell_angle_gamma 90.00
loop_
_space_group_symop_operation_xyz
'x,y,z'
loop_
_atom_site_label
_atom_site_type_symbol
_atom_site_fract_x
_atom_site_fract_y
_atom_site_fract_z
Ac1 Ac 0.000 0.000 0.000
Al1 Al 0.500 0.500 0.268
Al2 Al 0.500 0.500 0.732
Fe1 Fe 0.000 0.500 0.500
Fe2 Fe 0.500 0.000 0.500
Si1 Si 0.000 0.000 0.500
```

---

First-principles (GGA-PBE) data for a relaxed structure of CePmTmPa, as listed in the Alexandria database.

size of the total moment	4.141	μB per formula unit
DFT formation energy	0.3827	eV per atom
SG	F-43m, No. 216
energy	-23.12	eV per formula unit

The structure in CIF format:
```
data_CePmTmPa
_space_group_name_H-M_alt 'P 1'
_space_group_IT_number 1
_cell_length_a 5.538
_cell_length_b 5.538
_cell_length_c 5.538
_cell_angle_alpha 60.00
_cell_angle_beta 60.00
_cell_angle_gamma 60.00
loop_
_space_group_symop_operation_xyz
'x,y,z'
loop_
_atom_site_label
_atom_site_type_symbol
_atom_site_fract_x
_atom_site_fract_y
_atom_site_fract_z
Ce1 Ce 0.000 0.000 0.000
Pm1 Pm 0.500 0.500 0.500
Tm1 Tm 0.250 0.250 0.250
Pa1 Pa 0.750 0.750 0.750
```

---

First-principles (GGA-PBE) data for a relaxed structure of Na3Tl2Bi, as listed in the Alexandria database.

size of the total moment	0.000	μB per formula unit
DFT formation energy	-0.1765	eV per atom
SG	Pmc2_1, No. 26
energy	-13.63	eV per formula unit

The structure in CIF format:
```
data_Na3Tl2Bi
_space_group_name_H-M_alt 'P 1'
_space_group_IT_number 1
_cell_length_a 5.436
_cell_length_b 10.635
_cell_length_c 6.024
_cell_angle_alpha 90.00
_cell_angle_beta 90.00
_cell_angle_gamma 90.00
loop_
_space_group_symop_operation_xyz
'x,y,z'
loop_
_atom_site_label
_atom_site_type_symbol
_atom_site_fract_x
_atom_site_fract_y
_atom_site_fract_z
Na1 Na 0.000 0.090 0.000
Na2 Na 0.000 0.252 0.478
Na3 Na 0.000 0.748 0.978
Na4 Na 0.000 0.910 0.500
Na5 Na 0.500 0.409 0.293
Na6 Na 0.500 0.591 0.793
Tl1 Tl 0.000 0.428 0.949
Tl2 Tl 0.000 0.572 0.449
Tl3 Tl 0.500 0.262 0.820
Tl4 Tl 0.500 0.738 0.320
Bi1 Bi 0.500 0.085 0.345
Bi2 Bi 0.500 0.915 0.845
```

---

First-principles (GGA-PBE) data for a relaxed structure of UBOs3, as listed in the Alexandria database.

size of the total moment	0.833	μB per formula unit
DFT formation energy	-0.1624	eV per atom
SG	Pm-3m, No. 221
energy	-52.47	eV per formula unit

The structure in CIF format:
```
data_UBOs3
_space_group_name_H-M_alt 'P 1'
_space_group_IT_number 1
_cell_length_a 4.209
_cell_length_b 4.209
_cell_length_c 4.209
_cell_angle_alpha 90.00
_cell_angle_beta 90.00
_cell_angle_gamma 90.00
loop_
_space_group_symop_operation_xyz
'x,y,z'
loop_
_atom_site_label
_atom_site_type_symbol
_atom_site_fract_x
_atom_site_fract_y
_atom_site_fract_z
U1 U 0.000 0.000 0.000
B1 B 0.500 0.500 0.500
Os1 Os 0.000 0.500 0.500
Os2 Os 0.500 0.000 0.500
Os3 Os 0.500 0.500 0.000
```

---

First-principles (GGA-PBE) data for a relaxed structure of KAgPd, as listed in the Alexandria database.

size of the total moment	0.000	μB per formula unit
DFT formation energy	0.0889	eV per atom
SG	I4mm, No. 107
energy	-8.87	eV per formula unit

The structure in CIF format:
```
data_KAgPd
_space_group_name_H-M_alt 'P 1'
_space_group_IT_number 1
_cell_length_a 6.261
_cell_length_b 6.261
_cell_length_c 6.261
_cell_angle_alpha 145.77
_cell_angle_beta 145.77
_cell_angle_gamma 49.18
loop_
_space_group_symop_operation_xyz
'x,y,z'
loop_
_atom_site_label
_atom_site_type_symbol
_atom_site_fract_x
_atom_site_fract_y
_atom_site_fract_z
K1 K 0.000 0.000 0.000
Ag1 Ag 0.283 0.283 0.000
Pd1 Pd 0.714 0.714 0.000
```

---

First-principles (GGA-PBE) data for a relaxed structure of La2YIr2, as listed in the Alexandria database.

size of the total moment	1.679	μB per formula unit
DFT formation energy	-0.0489	eV per atom
SG	I4/mmm, No. 139
energy	-34.29	eV per formula unit

The structure in CIF format:
```
data_La2YIr2
_space_group_name_H-M_alt 'P 1'
_space_group_IT_number 1
_cell_length_a 10.292
_cell_length_b 10.292
_cell_length_c 10.292
_cell_angle_alpha 158.10
_cell_angle_beta 158.10
_cell_angle_gamma 31.17
loop_
_space_group_symop_operation_xyz
'x,y,z'
loop_
_atom_site_label
_atom_site_type_symbol
_atom_site_fract_x
_atom_site_fract_y
_atom_site_fract_z
La1 La 0.144 0.144 0.000
La2 La 0.856 0.856 0.000
Y1 Y 0.500 0.500 0.000
Ir1 Ir 0.250 0.750 0.500
Ir2 Ir 0.750 0.250 0.500
```